Model 1:
{"formula": "TmTlCdSe3", "functional": "PBE", "state": "relaxed", "cell": [[8.1634, 0.0000, 0.0000], [0.0000, 4.4742, 0.0000], [0.0000, 0.0000, 17.0853]], "species": ["Se", "Se", "Se", "Se", "Se", "Se", "Se", "Se", "Se", "Se", "Se", "Se", "Tm", "Tm", "Tm", "Tm", "Tl", "Tl", "Tl", "Tl", "Cd", "Cd", "Cd", "Cd"], "frac_coords": [[0.1255, 0.2500, 0.0513], [0.5026, 0.7500, 0.0771], [0.4974, 0.2500, 0.9229], [0.2378, 0.7500, 0.7970], [0.9974, 0.2500, 0.5771], [0.6255, 0.2500, 0.4487], [0.0026, 0.7500, 0.4229], [0.8745, 0.7500, 0.9487], [0.7378, 0.7500, 0.7030], [0.7622, 0.2500, 0.2030], [0.3745, 0.7500, 0.5513], [0.2622, 0.2500, 0.2970], [0.7360, 0.7500, 0.5376], [0.2360, 0.7500, 0.9624], [0.7640, 0.2500, 0.0376], [0.2640, 0.2500, 0.4624], [0.9489, 0.2500, 0.8052], [0.0511, 0.7500, 0.1948], [0.4489, 0.2500, 0.6948], [0.5511, 0.7500, 0.3052], [0.5937, 0.7500, 0.8437], [0.9063, 0.2500, 0.3437], [0.4063, 0.2500, 0.1563], [0.0937, 0.7500, 0.6563]], "magnetic_moment_mub_per_fu": 0.001}

---

Model 2:
{"formula": "TmTlCdSe3", "functional": "PBE", "state": "relaxed", "cell": [[8.3895, 0.0000, 0.0000], [0.0000, 4.2051, 0.0000], [-3.2932, 0.0000, 10.0253]], "species": ["Tm", "Tm", "Se", "Se", "Se", "Se", "Se", "Se", "Tl", "Tl", "Cd", "Cd"], "frac_coords": [[0.8145, 0.7500, 0.3656], [0.1855, 0.2500, 0.6344], [0.0436, 0.2500, 0.3591], [0.9564, 0.7500, 0.6409], [0.7487, 0.7500, 0.0669], [0.2513, 0.2500, 0.9331], [0.4181, 0.7500, 0.6353], [0.5819, 0.2500, 0.3647], [0.7537, 0.2500, 0.7630], [0.2463, 0.7500, 0.2370], [0.4264, 0.7500, 0.8860], [0.5736, 0.2500, 0.1140]], "magnetic_moment_mub_per_fu": 0.010}

---

Model 3:
{"formula": "TmTlCdSe3", "functional": "PBE", "state": "relaxed", "cell": [[14.7429, 0.0000, 0.0000], [0.0000, 4.2067, 0.0000], [0.0000, 0.0000, 11.2664]], "species": ["Se", "Se", "Se", "Se", "Se", "Se", "Se", "Se", "Se", "Se", "Se", "Se", "Tl", "Tl", "Tl", "Tl", "Cd", "Cd", "Cd", "Cd", "Tm", "Tm", "Tm", "Tm"], "frac_coords": [[0.4106, 0.7500, 0.3709], [0.5935, 0.7500, 0.9204], [0.8544, 0.7500, 0.7288], [0.9065, 0.2500, 0.4204], [0.0894, 0.2500, 0.8709], [0.9106, 0.7500, 0.1291], [0.3544, 0.7500, 0.7712], [0.4065, 0.2500, 0.0796], [0.5894, 0.2500, 0.6291], [0.1456, 0.2500, 0.2712], [0.0935, 0.7500, 0.5796], [0.6456, 0.2500, 0.2288], [0.7544, 0.2500, 0.9516], [0.2456, 0.7500, 0.0484], [0.2544, 0.2500, 0.5484], [0.7456, 0.7500, 0.4516], [0.5229, 0.2500, 0.3990], [0.9771, 0.7500, 0.8990], [0.0229, 0.2500, 0.1010], [0.4771, 0.7500, 0.6010], [0.9732, 0.2500, 0.6510], [0.5268, 0.7500, 0.1510], [0.4732, 0.2500, 0.8490], [0.0268, 0.7500, 0.3490]], "magnetic_moment_mub_per_fu": 0.001}

---

Of them, model 3 has the highest stability.

---

Model 1:
{"formula": "TmTlCdSe3", "functional": "PBE", "state": "relaxed", "cell": [[-8.2525, -0.7591, -3.5774], [-8.3080, -3.4991, -0.4599], [-1.0118, 7.0615, 6.1882]], "species": ["Se", "Se", "Se", "Se", "Se", "Se", "Tm", "Tm", "Tl", "Tl", "Cd", "Cd"], "frac_coords": [[0.3356, 0.3356, 0.1267], [0.3344, 0.3344, 0.7161], [0.6656, 0.6656, 0.2839], [0.5000, 0.5000, 0.5000], [0.6644, 0.6644, 0.8733], [0.0000, 0.0000, 0.0000], [0.8280, 0.8280, 0.9141], [0.1720, 0.1720, 0.0859], [0.8587, 0.8587, 0.4367], [0.1413, 0.1413, 0.5633], [0.4937, 0.4937, 0.7846], [0.5063, 0.5063, 0.2154]], "magnetic_moment_mub_per_fu": 0.005}

---

Model 2:
{"formula": "TmTlCdSe3", "functional": "PBE", "state": "relaxed", "cell": [[11.0278, 0.0000, 0.0000], [0.0000, 4.1999, 0.0000], [0.0000, 0.0000, 14.5941]], "species": ["Tm", "Tm", "Tm", "Tm", "Tl", "Tl", "Tl", "Tl", "Se", "Se", "Se", "Se", "Se", "Se", "Se", "Se", "Se", "Se", "Se", "Se", "Cd", "Cd", "Cd", "Cd"], "frac_coords": [[0.9922, 0.7500, 0.7483], [0.5078, 0.2500, 0.2483], [0.4922, 0.7500, 0.7518], [0.0078, 0.2500, 0.2517], [0.7422, 0.7500, 0.4968], [0.2578, 0.2500, 0.5032], [0.7578, 0.2500, 0.9968], [0.2422, 0.7500, 0.0032], [0.2576, 0.2500, 0.1794], [0.9491, 0.2500, 0.6177], [0.7576, 0.2500, 0.3206], [0.5509, 0.7500, 0.1177], [0.4491, 0.2500, 0.8823], [0.2424, 0.7500, 0.6794], [0.0509, 0.7500, 0.3823], [0.7424, 0.7500, 0.8206], [0.0344, 0.2500, 0.8792], [0.5344, 0.2500, 0.6208], [0.9656, 0.7500, 0.1208], [0.4656, 0.7500, 0.3792], [0.2570, 0.7500, 0.2949], [0.7430, 0.2500, 0.7051], [0.7570, 0.7500, 0.2051], [0.2430, 0.2500, 0.7949]], "magnetic_moment_mub_per_fu": 0.004}

---

Model 3:
{"formula": "TmTlCdSe3", "functional": "PBE", "state": "relaxed", "cell": [[-2.5507, -0.4611, -3.3410], [0.9117, -12.3555, 1.0092], [-10.1423, -0.1146, 7.7589]], "species": ["Cd", "Cd", "Cd", "Cd", "Se", "Se", "Se", "Se", "Se", "Se", "Se", "Se", "Se", "Se", "Se", "Se", "Tm", "Tm", "Tm", "Tm", "Tl", "Tl", "Tl", "Tl"], "frac_coords": [[0.7500, 0.2494, 0.2993], [0.2500, 0.7506, 0.7007], [0.7500, 0.7494, 0.2007], [0.2500, 0.2506, 0.7993], [0.2500, 0.5350, 0.6792], [0.2500, 0.0350, 0.8208], [0.7500, 0.9650, 0.1792], [0.7500, 0.5882, 0.0658], [0.7500, 0.7594, 0.8304], [0.7500, 0.2594, 0.6696], [0.2500, 0.2406, 0.1696], [0.2500, 0.7406, 0.3304], [0.2500, 0.9118, 0.5658], [0.2500, 0.4118, 0.9342], [0.7500, 0.4650, 0.3208], [0.7500, 0.0882, 0.4342], [0.7500, 0.5339, 0.8362], [0.2500, 0.4661, 0.1638], [0.2500, 0.9661, 0.3362], [0.7500, 0.0339, 0.6638], [0.7500, 0.6499, 0.4950], [0.2500, 0.8501, 0.9950], [0.2500, 0.3501, 0.5050], [0.7500, 0.1499, 0.0050]], "magnetic_moment_mub_per_fu": 0.004}

---

Of them, model 2 has the highest stability.

---

Model 1:
{"formula": "ZrTlCdSe3", "functional": "PBE", "state": "relaxed", "cell": [[-9.2537, -4.9334, -2.2197], [-0.0579, -1.5346, 3.6523], [-7.6013, 12.0367, 4.9370]], "species": ["Se", "Se", "Se", "Se", "Se", "Se", "Se", "Se", "Se", "Se", "Se", "Se", "Tl", "Tl", "Tl", "Tl", "Zr", "Zr", "Zr", "Zr", "Cd", "Cd", "Cd", "Cd"], "frac_coords": [[0.4645, 0.2500, 0.6221], [0.0270, 0.2500, 0.6229], [0.2454, 0.7500, 0.8214], [0.5355, 0.7500, 0.3779], [0.4730, 0.7500, 0.1229], [0.7546, 0.2500, 0.1786], [0.7454, 0.7500, 0.6786], [0.9645, 0.2500, 0.8779], [0.9730, 0.7500, 0.3771], [0.0355, 0.7500, 0.1221], [0.2546, 0.2500, 0.3214], [0.5270, 0.2500, 0.8771], [0.2489, 0.7500, 0.4964], [0.7511, 0.2500, 0.5036], [0.2511, 0.2500, 0.9964], [0.7489, 0.7500, 0.0036], [0.0051, 0.2500, 0.2496], [0.5051, 0.2500, 0.2504], [0.4949, 0.7500, 0.7496], [0.9949, 0.7500, 0.7504], [0.2541, 0.7500, 0.1993], [0.7459, 0.2500, 0.8007], [0.7541, 0.7500, 0.3007], [0.2459, 0.2500, 0.6993]], "magnetic_moment_mub_per_fu": 0.616}

---

Model 2:
{"formula": "ZrTlCdSe3", "functional": "PBE", "state": "relaxed", "cell": [[8.1424, 0.0000, 0.0000], [0.0000, 3.9633, 0.0000], [-4.0084, 0.0000, 10.2239]], "species": ["Zr", "Zr", "Cd", "Cd", "Se", "Se", "Se", "Se", "Se", "Se", "Tl", "Tl"], "frac_coords": [[0.5345, 0.7500, 0.8747], [0.4655, 0.2500, 0.1253], [0.5525, 0.2500, 0.6195], [0.4475, 0.7500, 0.3805], [0.2301, 0.7500, 0.1378], [0.2976, 0.2500, 0.8678], [0.7024, 0.7500, 0.1322], [0.3146, 0.7500, 0.5822], [0.6854, 0.2500, 0.4178], [0.7699, 0.2500, 0.8622], [0.9811, 0.7500, 0.7047], [0.0189, 0.2500, 0.2953]], "magnetic_moment_mub_per_fu": 0.009}

---

Of them, model 2 has the highest stability.

---

Model 1:
{"formula": "CdSi2", "functional": "PBE", "state": "relaxed", "cell": [[-1.5454, 1.5454, 5.6128], [1.5454, -1.5454, 5.6128], [1.5454, 1.5454, -5.6128]], "species": ["Si", "Si", "Cd"], "frac_coords": [[0.3122, 0.3122, 0.0000], [0.6878, 0.6878, 0.0000], [0.0000, 0.0000, 0.0000]]}

---

Model 2:
{"formula": "CdSi2", "functional": "PBE", "state": "relaxed", "cell": [[0.0000, 3.7709, 3.7709], [3.7709, 0.0000, 3.7709], [3.7709, 3.7709, 0.0000]], "species": ["Cd", "Cd", "Si", "Si", "Si", "Si"], "frac_coords": [[0.0000, 0.0000, 0.0000], [0.2500, 0.2500, 0.2500], [0.6250, 0.6250, 0.6250], [0.1250, 0.6250, 0.6250], [0.6250, 0.1250, 0.6250], [0.6250, 0.6250, 0.1250]]}

---

Of them, model 1 has the highest stability.

---

Model 1:
{"formula": "CdSiTe", "functional": "PBE", "state": "relaxed", "cell": [[-6.0775, -0.3496, 3.8645], [-1.3324, -2.9273, -2.3603], [4.4530, -7.1516, 6.3559]], "species": ["Si", "Si", "Si", "Si", "Cd", "Cd", "Cd", "Cd", "Te", "Te", "Te", "Te"], "frac_coords": [[0.2679, 0.2500, 0.4852], [0.7679, 0.2500, 0.0148], [0.2321, 0.7500, 0.9852], [0.7321, 0.7500, 0.5148], [0.9472, 0.2500, 0.6368], [0.5528, 0.7500, 0.1368], [0.4472, 0.2500, 0.8632], [0.0528, 0.7500, 0.3632], [0.1052, 0.2500, 0.1418], [0.6052, 0.2500, 0.3582], [0.3948, 0.7500, 0.6418], [0.8948, 0.7500, 0.8582]]}

---

Model 2:
{"formula": "CdSiTe", "functional": "PBE", "state": "relaxed", "cell": [[0.7335, -0.9684, 4.6754], [-3.1224, -2.7912, 2.4073], [1.2957, -4.4470, 1.3711]], "species": ["Te", "Si", "Cd"], "frac_coords": [[0.7500, 0.7500, 0.7500], [0.0000, 0.0000, 0.0000], [0.2500, 0.2500, 0.2500]]}

---

Model 3:
{"formula": "CdSiTe", "functional": "PBE", "state": "relaxed", "cell": [[8.8074, 0.0000, 0.0000], [0.0000, 4.6124, 0.0000], [0.0000, 0.0000, 8.4368]], "species": ["Te", "Te", "Te", "Te", "Cd", "Cd", "Cd", "Cd", "Si", "Si", "Si", "Si"], "frac_coords": [[0.6820, 0.7500, 0.5508], [0.1820, 0.7500, 0.9493], [0.8180, 0.2500, 0.0507], [0.3180, 0.2500, 0.4493], [0.9591, 0.7500, 0.2157], [0.4591, 0.7500, 0.2843], [0.0409, 0.2500, 0.7843], [0.5409, 0.2500, 0.7157], [0.4774, 0.7500, 0.9631], [0.0226, 0.2500, 0.4631], [0.5226, 0.2500, 0.0369], [0.9774, 0.7500, 0.5369]]}

---

Of them, model 3 has the highest stability.

---

Model 1:
{"formula": "SrSmCd", "functional": "PBE", "state": "relaxed", "cell": [[4.3080, 0.0000, 0.0000], [0.0000, 4.3080, 0.0000], [0.0000, 0.0000, 6.8742]], "species": ["Sr", "Cd", "Sm"], "frac_coords": [[0.5000, 0.5000, 0.5000], [0.0000, 0.0000, 0.0000], [0.5000, 0.5000, 0.0000]], "magnetic_moment_mub_per_fu": 0.472}

---

Model 2:
{"formula": "SrSmCd", "functional": "PBE", "state": "relaxed", "cell": [[0.0000, 3.8262, 3.8262], [3.8262, 0.0000, 3.8262], [3.8262, 3.8262, 0.0000]], "species": ["Sr", "Sm", "Cd"], "frac_coords": [[0.7500, 0.7500, 0.7500], [0.2500, 0.2500, 0.2500], [0.0000, 0.0000, 0.0000]], "magnetic_moment_mub_per_fu": 0.053}

---

Of them, model 2 has the highest stability.

---

Model 1:
{"formula": "SmCdTe", "functional": "PBE", "state": "relaxed", "cell": [[1.6827, -1.5017, 4.6932], [-3.2928, -0.1161, 4.0320], [-1.5343, -4.5659, 1.9776]], "species": ["Te", "Sm", "Cd"], "frac_coords": [[0.0000, 0.0000, 0.0000], [0.7500, 0.7500, 0.7500], [0.2500, 0.2500, 0.2500]], "magnetic_moment_mub_per_fu": 0.012}

---

Model 2:
{"formula": "SmCdTe", "functional": "PBE", "state": "relaxed", "cell": [[0.0000, 3.6697, 3.6697], [3.6697, 0.0000, 3.6697], [3.6697, 3.6697, 0.0000]], "species": ["Sm", "Cd", "Te"], "frac_coords": [[0.0000, 0.0000, 0.0000], [0.2500, 0.2500, 0.2500], [0.7500, 0.7500, 0.7500]], "magnetic_moment_mub_per_fu": 0.098}

---

Of them, model 2 has the highest stability.

---

Model 1:
{"formula": "CdSn2", "functional": "PBE", "state": "relaxed", "cell": [[0.9397, 3.6820, 3.2192], [-3.5509, 1.5301, 3.1390], [0.3851, -0.9850, 4.8667]], "species": ["Sn", "Sn", "Cd"], "frac_coords": [[0.2500, 0.2500, 0.2500], [0.7500, 0.7500, 0.7500], [0.0000, 0.0000, 0.0000]]}

---

Model 2:
{"formula": "CdSn2", "functional": "PBE", "state": "relaxed", "cell": [[0.0000, 4.4089, 4.4089], [4.4089, 0.0000, 4.4089], [4.4089, 4.4089, 0.0000]], "species": ["Sn", "Sn", "Sn", "Sn", "Cd", "Cd"], "frac_coords": [[0.6250, 0.6250, 0.1250], [0.6250, 0.6250, 0.6250], [0.6250, 0.1250, 0.6250], [0.1250, 0.6250, 0.6250], [0.0000, 0.0000, 0.0000], [0.2500, 0.2500, 0.2500]]}

---

Of them, model 1 has the highest stability.